[1]
The following is a DFT calculation (PBE) of crystalline ThRhPb2 at its relaxed geometry.

Summary:
Its energy of formation is 0.17 eV per atom.

Unit cell a=3.4031 b=3.4031 c=32.1951 alpha=90.00 beta=90.00 gamma=120.00
Last column: nearest neighbours and their distance in Å.
Space group R-3m (No. 166, hexagonal axes)
Asymmetric unit:
Th1 0.0000 0.0000 0.0000 x3  2 Pb 3.33, 6 Th 3.40
Rh1 0.0000 0.0000 0.5000 x3  6 Pb 2.83
Pb1 0.0000 0.0000 0.1034 x6  3 Rh 2.83

[2]
The following is a DFT calculation (PBE) of crystalline Ho5Er4Zn at its relaxed geometry.

Summary:
Its energy of formation is -0.05 eV per atom.

Unit cell a=3.5178 b=3.5178 c=23.5520 alpha=90.00 beta=90.00 gamma=90.00
Last column: nearest neighbours and their distance in Å.
Space group P4/mmm (No. 123)
Asymmetric unit:
Ho1 0.0000 0.0000 0.0000 x1  8 Er 3.52, 4 Ho 3.52
Ho2 0.0000 0.0000 0.2117 x2  8 Er 3.51-3.53, 4 Ho 3.52
Ho3 0.0000 0.0000 0.4244 x2  4 Zn 3.06
Er1 0.5000 0.5000 0.1055 x2  8 Ho 3.52-3.53, 4 Er 3.52
Er2 0.5000 0.5000 0.3166 x2  8 Ho 3.51-3.55, 4 Er 3.52
Zn1 0.5000 0.5000 0.5000 x1  8 Ho 3.06

[3]
The following is a DFT calculation (PBE) of crystalline Hf6BePb2 at its relaxed geometry.

Summary:
Its energy of formation is -0.11 eV per atom.

Unit cell a=7.7147 b=7.7147 c=3.7501 alpha=90.00 beta=90.00 gamma=120.00
Last column: nearest neighbours and their distance in Å.
Space group P-62m (No. 189)
Asymmetric unit:
Hf1 0.0000 0.3835 0.0000 x3  1 Be 2.96, 4 Pb 3.05, 4 Hf 3.19
Hf2 0.0000 0.7702 0.5000 x3  2 Be 2.58
Be1 0.0000 0.0000 0.0000 x1  6 Hf 2.58
Pb1 0.3333 0.6667 0.5000 x2  9 Hf 3.05